1.
A plane-wave DFT calculation with PBE was carried out for a relaxed Cs2ThSbO6 crystal.

Results
The total magnetization comes out at 2.2 Bohr magnetons per cell. The value obtained for the total DFT energy (no corrections) is -63.37 eV per formula unit. Its uncorrected formation energy is -2.037 eV per atom.

Unit cell a=6.213 b=6.213 c=8.787 alpha=90.00 beta=90.00 gamma=90.00
Site moments in Bohr magnetons follow the coordinates.
Fractional coordinates of all 20 atoms:
O1 0.767 0.517 0.000  0.15
O2 0.500 0.250 0.733  0.16
O3 0.733 0.483 0.500  0.15
Sb1 0.500 0.250 0.500  -0.02
Sb2 0.000 0.750 0.000  -0.02
Cs1 0.000 0.250 0.250  0.01
O4 0.000 0.750 0.233  0.16
Cs2 0.000 0.250 0.750  0.01
O5 0.233 0.983 0.000  0.15
O6 0.267 0.017 0.500  0.15
O7 0.267 0.483 0.500  0.15
O8 0.500 0.250 0.267  0.16
Cs3 0.500 0.750 0.250  0.01
O9 0.733 0.017 0.500  0.15
O10 0.767 0.983 0.000  0.15
O11 0.233 0.517 0.000  0.15
Cs4 0.500 0.750 0.750  0.01
Th1 0.500 0.250 0.000  -0.03
O12 0.000 0.750 0.767  0.16
Th2 0.000 0.750 0.500  -0.03

---

2.
A plane-wave DFT calculation with PBE was carried out for a relaxed Cs2ThSb2O6 crystal.

Results
The total magnetization comes out at 0.0 Bohr magnetons per cell. The value obtained for the total DFT energy (no corrections) is -70.37 eV per formula unit. Its uncorrected formation energy is -2.113 eV per atom.

Unit cell a=6.395 b=6.396 c=10.302 alpha=123.05 beta=90.00 gamma=120.00
Fractional coordinates of all 11 atoms:
O1 0.238 0.007 0.657
O2 0.232 0.464 0.347
Sb1 0.005 0.010 0.224
Th1 0.500 0.000 0.500
O3 0.769 0.007 0.657
Cs1 0.719 0.439 0.305
O4 0.231 0.993 0.343
O5 0.768 0.536 0.653
Cs2 0.281 0.561 0.695
Sb2 0.995 0.990 0.776
O6 0.762 0.993 0.343

---

3.
A plane-wave DFT calculation with PBE was carried out for a relaxed CsTh2SbO8 crystal.

Results
The total magnetization comes out at 0.0 Bohr magnetons per cell. The value obtained for the total DFT energy (no corrections) is -87.91 eV per formula unit. Its uncorrected formation energy is -2.369 eV per atom.

Unit cell a=4.961 b=4.958 c=8.398 alpha=88.13 beta=88.14 gamma=90.69
Fractional coordinates of all 12 atoms:
O1 0.393 0.393 0.500
O2 0.607 0.607 0.500
Sb1 0.000 0.000 0.000
Cs1 0.000 0.000 0.500
Th1 0.521 0.521 0.213
O3 0.293 0.292 0.015
O4 0.834 0.219 0.823
Th2 0.479 0.479 0.787
O5 0.781 0.166 0.177
O6 0.707 0.708 0.985
O7 0.219 0.834 0.823
O8 0.166 0.781 0.177

---

4.
A plane-wave DFT calculation with PBE was carried out for a relaxed CsTl2SbO4 crystal.

Results
The total magnetization comes out at 0.0 Bohr magnetons per cell. The value obtained for the total DFT energy (no corrections) is -38.88 eV per formula unit. Its uncorrected formation energy is -1.167 eV per atom.

Unit cell a=6.010 b=8.265 c=8.269 alpha=90.00 beta=90.00 gamma=90.00
Fractional coordinates of all 16 atoms:
O1 0.394 0.657 0.306
Tl1 0.981 0.657 0.223
Sb1 0.505 0.758 0.500
Tl2 0.481 0.343 0.723
O2 0.894 0.343 0.194
O3 0.394 0.657 0.694
O4 0.450 0.983 0.500
Tl3 0.481 0.343 0.277
Tl4 0.981 0.657 0.777
O5 0.824 0.720 0.500
O6 0.950 0.017 0.000
O7 0.324 0.280 0.000
Cs1 0.971 0.100 0.500
Sb2 0.005 0.242 0.000
Cs2 0.471 0.900 0.000
O8 0.894 0.343 0.806